1.
Computed, not measured: InPW2 after structural relaxation at the GGA-PBE level of DFT.

The structure in CIF format:
```
data_InPW2
_chemical_formula_sum 'In4 P4 W8'
_symmetry_space_group_name_H-M 'F -4 3 m'
_symmetry_Int_Tables_number 216
_symmetry_space_group_name_Hall 'F -4 2 3'
_cell_length_a 6.4779
_cell_length_b 6.4779
_cell_length_c 6.4779
_cell_angle_alpha 90.00
_cell_angle_beta 90.00
_cell_angle_gamma 90.00
loop_
_atom_site_label
_atom_site_type_symbol
_atom_site_fract_x
_atom_site_fract_y
_atom_site_fract_z
In1 In 0.0000 0.0000 0.0000
P1 P 0.2500 0.2500 0.2500
W1 W 0.0000 0.0000 0.5000
W2 W 0.2500 0.2500 0.7500
```

distance to the lowest polymorph of the same formula	590	meV/atom
density	12.547	Mg/m³
DFT formation energy	262	kJ/mol of formula units
calculated total energy	-125.4	eV for the cell shown
size of the total moment	0.0	μB/cell

***

2.
Computed, not measured: GdMoC2 after structural relaxation at the GGA-PBE level of DFT.

The structure in CIF format:
```
data_GdMoC2
_chemical_formula_sum 'Gd3 Mo3 C6'
_symmetry_space_group_name_H-M 'R -3 m'
_symmetry_Int_Tables_number 166
_symmetry_space_group_name_Hall '-R 3 2"'
_cell_length_a 3.2430
_cell_length_b 3.2430
_cell_length_c 16.8178
_cell_angle_alpha 90.00
_cell_angle_beta 90.00
_cell_angle_gamma 120.00
loop_
_atom_site_label
_atom_site_type_symbol
_atom_site_fract_x
_atom_site_fract_y
_atom_site_fract_z
Gd1 Gd 0.0000 0.0000 0.0000
Mo1 Mo 0.0000 0.0000 0.5000
C1 C 0.0000 0.0000 0.2376
```

distance to the lowest polymorph of the same formula	137	meV/atom
density	9.016	Mg/m³
DFT formation energy	-29	kJ/mol of formula units
calculated total energy	-131.0	eV for the cell shown
size of the total moment	20.0	μB/cell

***

3.
Computed, not measured: Cs12Ag5Sn3 after structural relaxation at the GGA-PBE level of DFT.

The structure in CIF format:
```
data_Cs12Ag5Sn3
_chemical_formula_sum 'Cs96 Ag40 Sn24'
_symmetry_space_group_name_H-M 'I a -3 d'
_symmetry_Int_Tables_number 230
_symmetry_space_group_name_Hall '-I 4bd 2c 3'
_cell_length_a 22.3789
_cell_length_b 22.3789
_cell_length_c 22.3789
_cell_angle_alpha 90.00
_cell_angle_beta 90.00
_cell_angle_gamma 90.00
loop_
_atom_site_label
_atom_site_type_symbol
_atom_site_fract_x
_atom_site_fract_y
_atom_site_fract_z
Cs1 Cs 0.0179 0.0688 0.6537
Ag1 Ag 0.0000 0.0000 0.0000
Ag2 Ag 0.0000 0.2500 0.3750
Sn1 Sn 0.0000 0.2500 0.1250
```

density	2.952	Mg/m³
DFT formation energy	206	kJ/mol of formula units
calculated total energy	-275.0	eV for the cell shown
size of the total moment	40.1	μB/cell